# 1
! CeNpIr2, relaxed, DFT PBE-GGA; values from VASP
! energy of formation = -438 meV/atom
! polymorph energy (0 for the lowest one) = 0.011 eV/atom
&SYSTEM
  ibrav = 0, nat = 4, ntyp = 3
/
ATOMIC_SPECIES
Np 237.00 Np.upf
Ir 192.22 Ir.upf
Ce 140.12 Ce.upf
ATOMIC_POSITIONS angstrom
Np -2.743 -0.363 2.698
Ir -0.059 -1.462 1.959
Ir -2.415 -0.271 -0.275
Ce -0.269 1.370 1.014
CELL_PARAMETERS angstrom
-0.538 2.740 2.029
-4.829 -0.541 -0.550
-0.119 -2.924 3.918

---

# 2
! Sr3HfGe, relaxed, DFT PBE-GGA; values from VASP
! energy of formation = 546 meV/atom
! polymorph energy (0 for the lowest one) = 0.000 eV/atom
&SYSTEM
  ibrav = 0, nat = 5, ntyp = 3
/
ATOMIC_SPECIES
Sr 87.62 Sr.upf
Ge 72.64 Ge.upf
Hf 178.49 Hf.upf
ATOMIC_POSITIONS angstrom
Sr -2.313 -0.787 -1.754
Sr -1.570 -0.810 2.434
Sr -1.109 2.787 0.213
Ge 0.000 0.000 0.000
Hf -4.992 1.190 0.893
CELL_PARAMETERS angstrom
-2.218 5.575 0.425
-4.626 -1.573 -3.508
-3.140 -1.621 4.868

---

# 3
! Li2SmDy2In2, relaxed, DFT PBE-GGA; values from VASP
! energy of formation = -231 meV/atom
&SYSTEM
  ibrav = 0, nat = 7, ntyp = 4
/
ATOMIC_SPECIES
Li 6.94 Li.upf
Sm 150.36 Sm.upf
Dy 162.50 Dy.upf
In 114.82 In.upf
ATOMIC_POSITIONS angstrom
Li 4.887 2.822 1.756
Li 4.887 2.822 7.063
Sm 0.000 0.000 0.000
Dy 2.444 1.411 5.429
Dy 7.331 4.232 3.391
In 7.331 4.232 6.894
In 2.444 1.411 1.925
CELL_PARAMETERS angstrom
4.887 0.000 0.000
2.444 4.232 0.000
2.444 1.411 8.820

---

# 4
! LiGa3Ni, relaxed, DFT PBE-GGA; values from VASP
! energy of formation = -253 meV/atom
! polymorph energy (0 for the lowest one) = 0.000 eV/atom
&SYSTEM
  ibrav = 0, nat = 20, ntyp = 3
/
ATOMIC_SPECIES
Li 6.94 Li.upf
Ga 69.72 Ga.upf
Ni 58.69 Ni.upf
ATOMIC_POSITIONS angstrom
Li -3.838 -4.307 -4.020
Li 0.002 -6.364 1.684
Li -2.839 -7.103 -2.193
Li -0.997 -3.567 -0.143
Ga -1.153 -8.963 -0.989
Ga -2.682 -1.707 -1.347
Ga -6.442 -3.819 -3.165
Ga 2.606 -6.852 0.830
Ga -3.473 -4.582 -1.518
Ga -0.363 -6.088 -0.818
Ga -4.574 -8.874 -1.625
Ga 0.738 -1.797 -0.710
Ga -2.493 -5.424 0.909
Ga -1.343 -5.247 -3.244
Ga 1.655 -4.274 0.282
Ga -5.490 -6.397 -2.618
Ni -3.647 -3.271 0.504
Ni -0.189 -7.400 -2.840
Ni 3.528 -5.353 -0.925
Ni -7.364 -5.318 -1.411
CELL_PARAMETERS angstrom
-1.762 -2.631 3.948
-6.832 -3.195 -5.179
4.758 -4.845 -1.104

---

# 5
! K2ZrAlSe5, relaxed, DFT PBE-GGA; values from VASP
! uncorrected formation energy = -1.10 eV per atom
&SYSTEM
  ibrav = 0, nat = 18, ntyp = 4
/
ATOMIC_SPECIES
K 39.10 K.upf
Zr 91.22 Zr.upf
Al 26.98 Al.upf
Se 78.96 Se.upf
ATOMIC_POSITIONS angstrom
K 1.894 7.467 11.810
K 0.000 2.548 9.909
K 0.000 2.568 4.583
K 1.894 7.487 2.681
Zr 1.894 5.805 7.616
Zr 0.000 4.230 0.388
Al 1.894 1.463 13.420
Al 0.000 8.572 6.192
Se 0.000 6.786 0.030
Se 1.894 3.844 12.833
Se 1.894 0.195 11.425
Se 0.000 5.948 9.457
Se 1.894 8.785 7.687
Se 1.894 3.249 7.258
Se 0.000 6.191 5.605
Se 0.000 9.840 4.198
Se 1.894 4.087 2.229
Se 0.000 1.250 0.460
CELL_PARAMETERS angstrom
3.789 0.000 0.000
-1.894 10.035 0.000
0.000 0.000 14.455

---

# 6
! Ce3TmPb4, relaxed, DFT PBE-GGA; values from VASP
! energy of formation = -382 meV/atom
&SYSTEM
  ibrav = 0, nat = 8, ntyp = 3
/
ATOMIC_SPECIES
Pb 207.20 Pb.upf
Tm 168.93 Tm.upf
Ce 140.12 Ce.upf
ATOMIC_POSITIONS angstrom
Pb 1.293 1.367 4.788
Pb 3.045 3.268 0.028
Pb 0.417 0.441 1.545
Pb 3.921 4.194 3.271
Tm 2.831 0.000 -0.764
Ce -0.203 2.827 -0.753
Ce 3.683 0.900 2.391
Ce 0.655 3.735 2.425
CELL_PARAMETERS angstrom
5.663 0.000 -1.529
-0.407 5.654 -1.506
-0.919 -1.019 7.851

---

# 7
! Th2Se3O, relaxed, DFT PBE-GGA; values from VASP
! uncorrected formation energy = -2.16 eV per atom
&SYSTEM
  ibrav = 0, nat = 12, ntyp = 3
/
ATOMIC_SPECIES
Th 232.04 Th.upf
Se 78.96 Se.upf
O 16.00 O.upf
ATOMIC_POSITIONS angstrom
Th -4.239 0.993 3.120
Th -5.098 0.724 -1.633
Th -1.879 -2.969 5.480
Th -2.738 -3.238 0.727
Se -3.067 -1.514 -1.734
Se -3.685 -5.149 -1.416
Se -4.312 2.682 0.753
Se -2.047 -1.293 2.776
Se -2.665 -4.928 3.094
Se -4.930 -0.952 1.071
O -0.618 -3.635 0.318
O 0.000 0.000 0.000
CELL_PARAMETERS angstrom
-5.517 0.607 -3.785
-1.235 -7.269 0.635
-0.225 4.417 6.997

---

# 8
! LaZr2Te, relaxed, DFT PBE-GGA; values from VASP
! uncorrected formation energy = -0.08 eV per atom
&SYSTEM
  ibrav = 0, nat = 4, ntyp = 3
/
ATOMIC_SPECIES
La 138.91 La.upf
Te 127.60 Te.upf
Zr 91.22 Zr.upf
ATOMIC_POSITIONS angstrom
La -2.301 1.453 1.512
Te -3.108 4.271 5.391
Zr -1.564 5.462 7.518
Zr -0.857 2.992 4.117
CELL_PARAMETERS angstrom
-1.492 2.321 -1.997
-2.304 -2.232 1.143
-1.614 5.636 7.757

---

# 9
! KCd2Co, relaxed, DFT PBE-GGA; values from VASP
! energy of formation = 319 meV/atom
! polymorph energy (0 for the lowest one) = 0.000 eV/atom
&SYSTEM
  ibrav = 0, nat = 4, ntyp = 3
/
ATOMIC_SPECIES
Cd 112.41 Cd.upf
Co 58.93 Co.upf
K 39.10 K.upf
ATOMIC_POSITIONS angstrom
Cd -0.003 -0.081 0.004
Cd -0.278 -2.316 2.333
Co -0.255 -8.070 0.447
K 1.330 -5.087 0.418
CELL_PARAMETERS angstrom
-1.937 -7.654 2.492
1.443 -7.989 -1.626
1.535 7.910 1.904

---

# 10
! NaAg2BiF6, relaxed, DFT PBE-GGA; values from VASP
! uncorrected formation energy = -1.93 eV per atom
&SYSTEM
  ibrav = 0, nat = 20, ntyp = 4
/
ATOMIC_SPECIES
Na 22.99 Na.upf
Ag 107.87 Ag.upf
Bi 208.98 Bi.upf
F 19.00 F.upf
ATOMIC_POSITIONS angstrom
Na 3.002 0.000 0.029
Na 0.068 3.094 4.371
Ag 0.177 5.794 2.225
Ag 3.247 3.489 6.625
Ag 5.964 0.395 6.575
Ag 2.894 2.700 2.175
Bi 3.070 0.000 4.400
Bi 0.000 3.094 0.000
F 1.853 4.284 0.576
F 4.923 4.999 4.977
F 4.288 1.905 8.224
F 1.217 1.190 3.824
F 1.920 4.344 3.690
F 4.991 4.938 8.090
F 4.220 1.844 5.110
F 1.150 1.250 0.710
F 5.233 3.519 2.188
F 2.299 5.763 6.529
F 0.907 2.669 6.613
F 3.841 0.425 2.271
CELL_PARAMETERS angstrom
6.004 0.000 0.059
0.000 6.189 0.000
0.136 0.000 8.741

---

# 11
! CeDyHf, relaxed, DFT PBE-GGA; values from VASP
! energy of formation = 141 meV/atom
! polymorph energy (0 for the lowest one) = 0.000 eV/atom
&SYSTEM
  ibrav = 0, nat = 3, ntyp = 3
/
ATOMIC_SPECIES
Hf 178.49 Hf.upf
Ce 140.12 Ce.upf
Dy 162.50 Dy.upf
ATOMIC_POSITIONS angstrom
Hf 1.640 1.640 2.516
Ce 0.000 0.000 4.898
Dy 0.000 0.000 0.140
CELL_PARAMETERS angstrom
3.280 0.000 0.000
0.000 3.280 0.000
-1.640 -1.640 7.554

---

# 12
! Sr2AcCeSe4, relaxed, DFT PBE-GGA; values from VASP
! uncorrected formation energy = -1.90 eV per atom
&SYSTEM
  ibrav = 0, nat = 8, ntyp = 4
/
ATOMIC_SPECIES
Sr 87.62 Sr.upf
Ac 227.00 Ac.upf
Ce 140.12 Ce.upf
Se 78.96 Se.upf
ATOMIC_POSITIONS angstrom
Sr -4.761 -5.654 1.664
Sr -2.620 -3.252 -1.298
Ac -0.371 -6.084 1.257
Ce 1.770 -3.683 -1.705
Se -0.611 -9.143 1.895
Se -0.610 -3.876 -3.640
Se 1.619 -6.688 -1.088
Se -2.840 -6.332 -0.658
CELL_PARAMETERS angstrom
-0.478 -0.851 -4.259
4.019 -6.515 0.850
-4.761 -5.654 1.664

---

# 13
! NaCd2I6, relaxed, DFT PBE-GGA; values from VASP
! uncorrected formation energy = -0.58 eV per atom
&SYSTEM
  ibrav = 0, nat = 18, ntyp = 3
/
ATOMIC_SPECIES
Na 22.99 Na.upf
Cd 112.41 Cd.upf
I 126.90 I.upf
ATOMIC_POSITIONS angstrom
Na 3.203 0.760 8.699
Na 7.117 8.330 0.101
Cd 3.290 5.866 7.252
Cd 3.117 2.040 3.549
Cd 7.030 3.225 1.548
Cd 7.204 7.050 5.251
I 4.413 6.720 4.778
I 1.994 4.486 2.615
I 5.907 2.370 4.023
I 8.326 4.604 6.185
I 8.548 7.850 2.921
I 5.685 5.527 0.672
I 1.772 1.240 5.879
I 4.635 3.563 8.128
I 3.231 7.866 9.230
I 3.176 -0.001 1.613
I 7.089 1.224 -0.429
I 7.144 9.091 7.187
CELL_PARAMETERS angstrom
7.827 -0.777 -0.753
1.247 9.932 -0.386
1.247 -0.064 9.939

---

# 14
! NbPb3Cl, relaxed, DFT PBE-GGA; values from VASP
! uncorrected formation energy = 0.88 eV per atom
! polymorph energy (0 for the lowest one) = 0.710 eV/atom
&SYSTEM
  ibrav = 0, nat = 5, ntyp = 3
/
ATOMIC_SPECIES
Pb 207.20 Pb.upf
Nb 92.91 Nb.upf
Cl 35.45 Cl.upf
ATOMIC_POSITIONS angstrom
Pb 2.318 -0.961 1.044
Pb -0.416 1.451 2.260
Pb -1.356 -2.087 1.091
Nb 0.546 -1.597 4.394
Cl 0.000 0.000 0.000
CELL_PARAMETERS angstrom
-2.712 -4.174 2.181
4.636 -1.922 2.087
-0.832 2.902 4.519

---

# 15
! LaFeGe2, relaxed, DFT PBE-GGA; values from VASP
! energy of formation = -550 meV/atom
&SYSTEM
  ibrav = 0, nat = 8, ntyp = 3
/
ATOMIC_SPECIES
La 138.91 La.upf
Fe 55.84 Fe.upf
Ge 72.64 Ge.upf
ATOMIC_POSITIONS angstrom
La -0.959 -6.260 1.486
La 0.150 -2.190 1.184
Fe -2.942 -1.348 0.361
Fe -1.233 -6.002 4.774
Ge -1.330 -0.865 -1.430
Ge -1.683 0.550 1.232
Ge -2.798 -3.440 1.491
Ge -1.376 -3.910 3.643
CELL_PARAMETERS angstrom
-3.366 1.101 2.465
-2.660 -1.729 -2.861
1.851 -6.721 5.531

---

# 16
! AcLuPt2, relaxed, DFT PBE-GGA; values from VASP
! energy of formation = -1120 meV/atom
! polymorph energy (0 for the lowest one) = 0.050 eV/atom
&SYSTEM
  ibrav = 0, nat = 4, ntyp = 3
/
ATOMIC_SPECIES
Ac 227.00 Ac.upf
Lu 174.97 Lu.upf
Pt 195.08 Pt.upf
ATOMIC_POSITIONS angstrom
Ac 1.791 1.791 0.000
Lu 1.791 1.791 3.635
Pt 0.000 0.000 5.174
Pt 0.000 0.000 2.097
CELL_PARAMETERS angstrom
3.583 0.000 0.000
0.000 3.583 0.000
0.000 0.000 7.271

---

# 17
! Tb5PrSc4, relaxed, DFT PBE-GGA; values from VASP
! energy of formation = 335 meV/atom
! polymorph energy (0 for the lowest one) = 0.057 eV/atom
&SYSTEM
  ibrav = 0, nat = 10, ntyp = 3
/
ATOMIC_SPECIES
Tb 158.93 Tb.upf
Pr 140.91 Pr.upf
Sc 44.96 Sc.upf
ATOMIC_POSITIONS angstrom
Tb -3.521 -9.975 3.987
Tb -4.538 -8.412 -0.791
Tb -2.526 -4.978 3.399
Tb -3.542 -3.415 -1.378
Tb -2.681 -1.754 2.724
Pr -0.875 -0.573 0.890
Sc -2.450 -7.601 1.810
Sc -5.894 -9.018 2.294
Sc -1.190 -4.385 0.336
Sc -4.634 -5.802 0.819
CELL_PARAMETERS angstrom
-3.951 -2.585 4.016
-5.547 -4.075 -3.297
2.039 -6.988 2.292

---

# 18
! SrLiLa, relaxed, DFT PBE-GGA; values from VASP
! energy of formation = 755 meV/atom
! polymorph energy (0 for the lowest one) = 0.695 eV/atom
&SYSTEM
  ibrav = 0, nat = 3, ntyp = 3
/
ATOMIC_SPECIES
La 138.91 La.upf
Li 6.94 Li.upf
Sr 87.62 Sr.upf
ATOMIC_POSITIONS angstrom
La 0.000 0.000 0.000
Li 5.572 3.217 2.275
Sr 8.357 4.825 3.412
CELL_PARAMETERS angstrom
5.572 0.000 0.000
2.786 4.825 0.000
2.786 1.608 4.549

---

# 19
! Sc2ZnCo, relaxed, DFT PBE-GGA; values from VASP
! energy of formation = 67 meV/atom
&SYSTEM
  ibrav = 0, nat = 4, ntyp = 3
/
ATOMIC_SPECIES
Sc 44.96 Sc.upf
Zn 65.41 Zn.upf
Co 58.93 Co.upf
ATOMIC_POSITIONS angstrom
Sc -1.033 1.105 1.712
Sc -5.221 5.584 8.655
Zn -3.127 3.344 5.184
Co 0.000 0.000 0.000
CELL_PARAMETERS angstrom
5.244 -2.954 -4.158
-2.595 5.431 4.158
-3.658 1.258 6.209

---

# 20
! Tb6Pr3Mg, relaxed, DFT PBE-GGA; values from VASP
! energy of formation = 115 meV/atom
! polymorph energy (0 for the lowest one) = 0.000 eV/atom
&SYSTEM
  ibrav = 0, nat = 20, ntyp = 3
/
ATOMIC_SPECIES
Tb 158.93 Tb.upf
Pr 140.91 Pr.upf
Mg 24.30 Mg.upf
ATOMIC_POSITIONS angstrom
Tb 0.875 -5.984 4.789
Tb -2.684 -8.732 2.385
Tb -2.826 -5.562 3.790
Tb 0.009 -9.841 -0.143
Tb 5.332 -6.527 0.435
Tb -4.665 -6.776 0.436
Tb 2.453 -4.881 1.989
Tb -8.327 -6.856 0.446
Tb -2.883 -3.276 1.262
Tb -0.048 -7.555 -2.671
Tb 0.781 -2.241 0.650
Tb -2.777 -4.989 -1.754
Pr 0.892 -8.648 2.801
Pr -4.695 -10.909 0.882
Pr -0.756 -6.109 0.950
Pr -3.089 -9.150 -1.747
Pr -4.799 -6.748 -3.720
Pr 0.788 -4.487 -1.801
Mg -3.552 -2.369 4.395
Mg 2.218 -7.351 -0.240
CELL_PARAMETERS angstrom
-2.944 -6.495 -5.807
7.105 -4.894 1.872
-6.945 -1.529 5.232

---

Total DFT energy (no corrections) readings, ordered: -38.3, -16.9, -24.8, -72.2, -83.7, -40.2, -86.4, -25.5, -8.8, -82.8, -20.1, -42.5, -35.3, -18.6, -49.6, -25.2, -49.9, -6.3, -20.8, -85.1 eV per cell
Total magnetic moment readings, ordered: 4.13, 3.80, 0.00, 0.00, 0.34, 3.77, 0.00, 0.00, 0.77, 0.00, 0.49, 1.53, 0.00, 3.29, 2.57, 0.00, 0.00, 0.00, 0.00, 0.00 μB per cell